[1]
La4Sm | PBE | relaxed

a = 13.3509 Å, b = 13.3509 Å, c = 13.3509 Å
α = 164.01°, β = 164.01°, γ = 22.68°
With the nearest neighbours (Å) after each atom.
Fractional coordinates of all 5 atoms:
La1 0.0987 0.0987 0.0000  4 Sm 3.68, 8 La 3.71
La2 0.3012 0.3012 0.0000  12 La 3.71-3.75
La3 0.6988 0.6988 0.0000  12 La 3.71-3.75
La4 0.9013 0.9013 0.0000  4 Sm 3.68, 8 La 3.71
Sm1 0.5000 0.5000 0.0000  8 La 3.68, 4 Sm 3.71

Summary:
- Space-group type: No. 139
- E_tot: -4.870 eV per atom
- Energy relative to the lowest polymorph listed for this composition: 0 kJ/mol of formula units
- Calculated volume: 180.44 Å³/cell

[2]
As2RuSeBr | PBE | relaxed

a = 4.7793 Å, b = 4.7793 Å, c = 5.0485 Å
α = 90.00°, β = 90.00°, γ = 90.00°
With the nearest neighbours (Å) after each atom.
Fractional coordinates of all 5 atoms:
As1 0.0000 0.5000 0.0000  2 Ru 2.39
As2 0.5000 0.0000 0.0000  2 Ru 2.39
Ru1 0.0000 0.0000 0.0000  4 As 2.39, 2 Br 2.52
Se1 0.5000 0.5000 0.5000  4 Br 3.38, 8 As 3.48
Br1 0.0000 0.0000 0.5000  2 Ru 2.52

Summary:
- Space-group type: No. 123
- E_tot: -4.256 eV per atom
- Energy relative to the lowest polymorph listed for this composition: 28 kJ/mol of formula units
- Calculated volume: 115.32 Å³/cell
- Formation energy from raw total energies: 0.491 eV per atom

[3]
Pr2TmGe3 | PBE | relaxed

a = 7.3021 Å, b = 7.3021 Å, c = 7.3021 Å
α = 145.67°, β = 131.35°, γ = 60.89°
With the nearest neighbours (Å) after each atom.
Fractional coordinates of all 6 atoms:
Pr1 0.1703 0.1703 0.0000  6 Ge 3.01-3.07
Pr2 0.8297 0.8297 0.0000  6 Ge 3.01-3.07
Tm1 0.5000 0.5000 0.0000  6 Ge 2.91-3.01
Ge1 0.0000 0.5000 0.5000  2 Tm 3.01, 4 Pr 3.04
Ge2 0.3442 0.8442 0.5000  2 Tm 2.91, 4 Pr 3.01-3.07
Ge3 0.6558 0.1558 0.5000  2 Tm 2.91, 4 Pr 3.01-3.07

Summary:
- Space-group type: No. 71
- E_tot: -5.270 eV per atom
- Calculated volume: 163.23 Å³/cell

[4]
HfPbW3 | PBE | relaxed

a = 4.9451 Å, b = 4.9451 Å, c = 4.9451 Å
α = 90.00°, β = 90.00°, γ = 90.00°
With the nearest neighbours (Å) after each atom.
Fractional coordinates of all 5 atoms:
Hf1 0.0000 0.0000 0.0000  12 W 3.50
Pb1 0.5000 0.5000 0.5000  6 W 2.47
W1 0.0000 0.5000 0.5000  2 Pb 2.47
W2 0.5000 0.0000 0.5000  2 Pb 2.47
W3 0.5000 0.5000 0.0000  2 Pb 2.47

Summary:
- Space-group type: No. 221
- E_tot: -7.738 eV per atom
- Energy relative to the lowest polymorph listed for this composition: 179 kJ/mol of formula units
- Calculated volume: 120.93 Å³/cell

[5]
Ba2UAs3Pt4 | PBE | relaxed

a = 4.4485 Å, b = 4.4485 Å, c = 11.5304 Å
α = 90.00°, β = 90.00°, γ = 90.00°
With the nearest neighbours (Å) after each atom.
Fractional coordinates of all 10 atoms:
Ba1 0.0000 0.5000 0.2295  4 As 3.40, 8 Pt 3.42-3.46
Ba2 0.5000 0.0000 0.7705  4 As 3.40, 8 Pt 3.42-3.46
U1 0.0000 0.0000 0.5000  4 Pt 2.85, 4 As 3.15
As1 0.0000 0.5000 0.8835  5 Pt 2.60-2.63
As2 0.5000 0.0000 0.1165  5 Pt 2.60-2.63
As3 0.5000 0.5000 0.5000  4 Pt 2.85, 4 U 3.15
Pt1 0.0000 0.0000 0.0000  4 As 2.60
Pt2 0.0000 0.5000 0.6551  3 As 2.63-2.85, 2 U 2.85
Pt3 0.5000 0.0000 0.3449  3 As 2.63-2.85, 2 U 2.85
Pt4 0.5000 0.5000 0.0000  4 As 2.60

Summary:
- Space-group type: No. 115
- E_tot: -5.992 eV per atom
- Calculated volume: 228.18 Å³/cell

[6]
SrCaNd2Tl4 | PBE | relaxed

a = 9.6987 Å, b = 9.6987 Å, c = 9.6987 Å
α = 33.42°, β = 33.42°, γ = 33.42°
With the nearest neighbours (Å) after each atom.
Fractional coordinates of all 8 atoms:
Sr1 0.0000 0.0000 0.0000  8 Tl 3.43-3.46
Ca1 0.5000 0.5000 0.5000  8 Tl 3.39-3.41
Nd1 0.2477 0.2477 0.2477  8 Tl 3.33-3.54
Nd2 0.7523 0.7523 0.7523  8 Tl 3.33-3.54
Tl1 0.1262 0.1262 0.1262  4 Nd 3.33-3.41, 3 Ca 3.41, 1 Sr 3.46
Tl2 0.3766 0.3766 0.3766  1 Ca 3.39, 4 Nd 3.42-3.54, 3 Sr 3.43
Tl3 0.6234 0.6234 0.6234  1 Ca 3.39, 4 Nd 3.42-3.54, 3 Sr 3.43
Tl4 0.8738 0.8738 0.8738  4 Nd 3.33-3.41, 3 Ca 3.41, 1 Sr 3.46

Summary:
- Space-group type: No. 166
- E_tot: -3.210 eV per atom
- Calculated volume: 246.44 Å³/cell

[7]
GeRuRh | PBE | relaxed

a = 7.2132 Å, b = 7.2132 Å, c = 4.4963 Å
α = 107.55°, β = 107.55°, γ = 23.04°
With the nearest neighbours (Å) after each atom.
Fractional coordinates of all 6 atoms:
Ge1 0.0000 0.0000 0.0000  3 Rh 2.43-2.60, 2 Ru 2.46
Ge2 0.6837 0.6837 0.8700  1 Ru 2.46, 3 Rh 2.52-2.64
Ru1 0.3523 0.3523 0.8831  2 Ge 2.46, 2 Ru 2.65
Ru2 0.8201 0.8201 0.3666  1 Ge 2.46, 2 Ru 2.65, 2 Rh 2.69
Rh1 0.1622 0.1622 0.3941  3 Ge 2.43-2.52, 2 Ru 2.69
Rh2 0.4958 0.4958 0.5156  5 Ge 2.60-2.75, 2 Ru 2.77, 2 Rh 2.88

Summary:
- Space-group type: No. 8
- E_tot: -7.276 eV per atom
- Energy relative to the lowest polymorph listed for this composition: 13 kJ/mol of formula units
- Calculated volume: 87.11 Å³/cell

[8]
LiB2C2 | PBE | relaxed

a = 5.3968 Å, b = 5.3968 Å, c = 7.3651 Å
α = 90.00°, β = 90.00°, γ = 120.00°
With the nearest neighbours (Å) after each atom.
Fractional coordinates of all 20 atoms:
Li1 0.0000 0.0000 0.0000  6 C 2.40, 6 B 2.46
Li2 0.0000 0.5000 0.5000  6 C 2.24-2.43, 4 B 2.36
Li3 0.5000 0.0000 0.5000  6 C 2.24-2.43, 4 B 2.36
Li4 0.5000 0.5000 0.5000  6 C 2.24-2.43, 4 B 2.36
B1 0.1665 0.3329 0.2588  3 C 1.56-1.57
B2 0.1665 0.8335 0.2588  3 C 1.56-1.57
B3 0.3329 0.1665 0.7412  3 C 1.56-1.57
B4 0.3333 0.6667 0.7713  3 C 1.56
B5 0.6667 0.3333 0.2287  3 C 1.56
B6 0.6671 0.8335 0.2588  3 C 1.56-1.57
B7 0.8335 0.1665 0.7412  3 C 1.56-1.57
B8 0.8335 0.6671 0.7412  3 C 1.56-1.57
C1 0.1670 0.3341 0.7528  3 B 1.56
C2 0.1670 0.8330 0.7528  3 B 1.56
C3 0.3333 0.6667 0.2805  3 B 1.57
C4 0.3341 0.1670 0.2472  3 B 1.56
C5 0.6659 0.8330 0.7528  3 B 1.56
C6 0.6667 0.3333 0.7195  3 B 1.57
C7 0.8330 0.1670 0.2472  3 B 1.56
C8 0.8330 0.6659 0.2472  3 B 1.56

Summary:
- Space-group type: No. 164
- E_tot: -6.765 eV per atom
- Energy relative to the lowest polymorph listed for this composition: 23 kJ/mol of formula units
- Calculated volume: 185.78 Å³/cell

[9]
LaYSc | PBE | relaxed

a = 9.1563 Å, b = 8.8913 Å, c = 3.4298 Å
α = 83.43°, β = 74.73°, γ = 21.85°
With the nearest neighbours (Å) after each atom.
Fractional coordinates of all 3 atoms:
La1 0.0000 0.0000 0.0000  2 Sc 3.42, 6 La 3.43-3.74, 2 Y 3.69
Y1 0.3171 0.3171 0.6829  2 Sc 3.24, 4 Y 3.43
Sc1 0.6645 0.6645 0.3355  2 Y 3.24, 2 La 3.42, 4 Sc 3.43

Summary:
- Space-group type: No. 42
- E_tot: -5.761 eV per atom
- Energy relative to the lowest polymorph listed for this composition: 29 kJ/mol of formula units
- Calculated volume: 93.42 Å³/cell

[10]
RbRuRh3 | PBE | relaxed

a = 4.7523 Å, b = 4.7523 Å, c = 4.7523 Å
α = 90.00°, β = 90.00°, γ = 90.00°
With the nearest neighbours (Å) after each atom.
Fractional coordinates of all 5 atoms:
Rb1 0.0000 0.0000 0.0000  6 Rh 2.38
Ru1 0.5000 0.5000 0.5000  12 Rh 3.36
Rh1 0.0000 0.0000 0.5000  2 Rb 2.38
Rh2 0.0000 0.5000 0.0000  2 Rb 2.38
Rh3 0.5000 0.0000 0.0000  2 Rb 2.38

Summary:
- Space-group type: No. 221
- E_tot: -3.756 eV per atom
- Energy relative to the lowest polymorph listed for this composition: 794 kJ/mol of formula units
- Calculated volume: 107.33 Å³/cell

[11]
CeAl9Co2 | PBE | relaxed

a = 7.8251 Å, b = 7.8251 Å, c = 3.8748 Å
α = 90.00°, β = 90.00°, γ = 120.00°
With the nearest neighbours (Å) after each atom.
Fractional coordinates of all 12 atoms:
Ce1 0.0000 0.0000 0.0000  12 Al 3.46
Al1 0.0000 0.5000 0.0000  2 Co 2.26
Al2 0.2111 0.4222 0.5000  2 Co 2.55, 4 Al 2.80
Al3 0.2111 0.7889 0.5000  2 Co 2.55, 4 Al 2.80
Al4 0.4222 0.2111 0.5000  2 Co 2.55, 4 Al 2.80
Al5 0.5000 0.0000 0.0000  2 Co 2.26
Al6 0.5000 0.5000 0.0000  2 Co 2.26
Al7 0.5778 0.7889 0.5000  2 Co 2.55, 4 Al 2.80
Al8 0.7889 0.2111 0.5000  2 Co 2.55, 4 Al 2.80
Al9 0.7889 0.5778 0.5000  2 Co 2.55, 4 Al 2.80
Co1 0.3333 0.6667 0.0000  3 Al 2.26
Co2 0.6667 0.3333 0.0000  3 Al 2.26

Summary:
- Space-group type: No. 191
- E_tot: -4.873 eV per atom
- Calculated volume: 205.48 Å³/cell

> Look up the E_tot of the eighth one.

-6.765 eV per atom